Record 1
A relaxed structure of Tl2Te, computed with PBEsol.

```
12
Lattice="4.755 0.000 0.000 0.000 4.755 0.000 -2.377 -2.377 15.986" Properties=species:S:1:pos:R:3 pbc="T T T"
Tl 2.377 0.000 10.795
Te 0.000 2.377 10.384
Te 0.000 2.377 5.602
Tl 2.377 2.377 8.016
Tl 2.377 0.000 5.191
Tl 0.000 0.000 7.970
Te 0.000 0.000 2.391
Te 2.377 2.377 13.595
Tl 2.377 2.377 2.802
Tl 0.000 0.000 13.184
Tl 0.000 2.377 0.023
Tl 0.000 2.377 15.963
```

Properties
- Raw formation energy: -0.172 eV per atom
- Distance to the lowest polymorph of the same formula: 75 meV/atom
- Calculated volume: 361.4 Å³ per cell

=====

Record 2
A relaxed structure of TlAs3O, computed with PBEsol.

```
5
Lattice="-1.168 4.624 2.208 -5.120 -0.968 -0.681 -0.192 -2.303 4.720" Properties=species:S:1:pos:R:3 pbc="T T T"
O -3.240 0.676 3.124
As -2.560 -0.484 -0.340
As -0.584 2.312 1.104
Tl 0.000 0.000 0.000
As -0.096 -1.151 2.360
```

Properties
- Raw formation energy: 1.713 eV per atom
- Calculated volume: 145.2 Å³ per cell

=====

Record 3
A relaxed structure of AgTeI2N, computed with PBEsol.

```
5
Lattice="-1.597 1.652 3.209 -0.714 -5.210 2.327 5.210 0.361 2.406" Properties=species:S:1:pos:R:3 pbc="T T T"
Te 1.450 -1.599 3.971
N -0.798 0.826 1.605
I -0.357 -2.605 1.163
Ag 0.000 0.000 0.000
I 2.605 0.180 1.203
```

Properties
- Raw formation energy: 0.942 eV per atom
- Calculated volume: 130.5 Å³ per cell

=====

Record 4
A relaxed structure of MgTi2GaBr, computed with PBEsol.

```
5
Lattice="-3.471 1.805 2.784 2.116 -1.899 3.869 2.864 4.510 0.647" Properties=species:S:1:pos:R:3 pbc="T T T"
Mg 0.754 2.208 3.650
Br 1.432 2.255 0.324
Ti -1.736 0.902 1.392
Ga 0.000 0.000 0.000
Ti 1.058 -0.949 1.935
```

Properties
- Raw formation energy: 0.731 eV per atom
- Calculated volume: 124.1 Å³ per cell

=====

Record 5
A relaxed structure of TaCd2Cl, computed with PBEsol.

```
4
Lattice="-2.393 -0.181 -1.705 -0.228 -1.303 2.630 -3.682 9.122 4.201" Properties=species:S:1:pos:R:3 pbc="T T T"
Ta -2.265 1.622 1.551
Cd -4.167 6.335 3.722
Cl -1.611 3.990 1.838
Cd -0.102 0.252 0.116
```

Properties
- Raw formation energy: -0.053 eV per atom
- Distance to the lowest polymorph of the same formula: 0 meV/atom
- Calculated volume: 83.8 Å³ per cell

=====

Record 6
A relaxed structure of BeTcW, computed with PBEsol.

```
3
Lattice="-3.745 1.539 0.087 -3.205 -2.475 0.062 -2.245 -0.323 3.355" Properties=species:S:1:pos:R:3 pbc="T T T"
Tc -2.299 -0.314 0.876
Be -4.598 -0.629 1.752
W 0.000 0.000 0.000
```

Properties
- Calculated volume: 47.0 Å³ per cell
- E: -8.876 eV/atom

=====

Record 7
A relaxed structure of InTe2PbN, computed with PBEsol.

```
5
Lattice="4.087 0.000 0.000 0.000 5.788 0.000 0.000 0.000 5.788" Properties=species:S:1:pos:R:3 pbc="T T T"
N 2.044 0.000 0.000
Pb 2.044 2.894 2.894
Te 0.000 0.000 2.894
In 0.000 0.000 0.000
Te 0.000 2.894 0.000
```

Properties
- Raw formation energy: 0.581 eV per atom
- Distance to the lowest polymorph of the same formula: 0 meV/atom
- Calculated volume: 136.9 Å³ per cell

=====

Record 8
A relaxed structure of Ho2Nb2S7O30, computed with PBEsol.

```
82
Lattice="-4.431 2.644 4.735 -9.732 -5.226 -6.189 1.197 -10.496 6.981" Properties=species:S:1:pos:R:3 pbc="T T T"
O -4.825 -7.567 2.650
O -8.545 -6.338 0.328
Nb -5.291 -12.317 2.143
O -3.469 -1.504 6.524
O -1.453 -4.218 1.830
O -2.894 -11.914 5.373
O -1.655 -1.571 2.809
O -9.858 -12.374 1.165
O -10.445 -9.468 3.150
O -2.464 -7.461 3.120
Ho -4.622 -8.454 6.540
Nb -3.430 -3.295 -1.153
S -9.964 -12.279 4.714
O -8.918 -8.481 5.489
O -6.846 -11.471 2.180
O -0.957 -5.717 4.594
O -6.863 -3.079 -3.275
O -8.968 -6.741 -3.369
O -3.868 -9.399 8.506
O -7.796 -11.078 -0.275
S -7.765 -0.884 0.003
O -10.188 -4.744 -3.944
O -3.695 0.781 3.524
O -3.556 -3.138 0.606
O -4.084 -6.941 4.839
Ho -9.170 -4.131 -0.130
S -1.009 -8.169 6.794
O -9.544 -8.832 -1.701
O -7.776 -8.538 0.972
O -9.011 -11.776 3.716
O -10.264 -2.620 1.382
O -0.645 -8.339 5.312
S -3.827 -6.811 3.399
S -7.763 -8.226 4.510
O -3.306 -9.601 4.989
O -5.470 -10.618 6.378
Nb -4.934 -4.859 8.238
O -10.339 -11.098 5.621
O -2.195 -3.667 4.785
O -6.534 -8.113 5.293
O -8.093 -7.017 3.763
O -6.789 -4.918 3.811
Nb -12.278 -5.686 1.827
S -10.244 -5.931 -3.098
O -2.414 -7.746 6.851
O -7.402 -2.596 3.622
S -11.725 -8.773 3.146
O -10.552 -2.812 -1.426
O -11.187 -12.716 4.050
O -5.597 -3.504 2.292
O -7.851 -10.698 6.687
S -7.427 -7.290 0.298
O -10.215 -5.533 -1.685
O -4.292 -1.101 2.171
S -4.716 0.223 2.644
O -4.376 -11.199 3.586
O -12.707 -9.659 2.433
Ho -3.350 -3.138 2.831
O -0.863 -9.477 7.424
O -10.880 -5.160 0.877
S -3.100 -10.872 4.309
S -6.916 -3.830 2.848
O -4.627 -3.637 6.631
O -5.981 0.021 3.490
O -7.558 -4.732 -1.709
O -7.149 -7.618 -1.176
O -7.885 -4.098 1.787
S -6.410 -4.268 -2.476
S -0.934 -4.333 5.128
O -4.625 -2.355 4.625
O -7.828 -2.262 -0.496
O -6.226 -6.654 0.830
O -10.440 -9.610 0.388
O -11.549 -7.527 2.325
O -7.707 -9.373 3.595
O -5.381 -3.794 -1.489
O -3.737 -5.407 3.002
O -4.651 -6.388 7.391
S -4.698 -2.243 6.075
O -7.581 -0.909 1.474
Ho -8.791 -10.433 1.813
O -6.420 -8.240 8.117
```

Properties
- Raw formation energy: -1.792 eV per atom
- Calculated volume: 1122.9 Å³ per cell

=====

Copy entry 7 word for word.
A relaxed structure of InTe2PbN, computed with PBEsol.

```
5
Lattice="4.087 0.000 0.000 0.000 5.788 0.000 0.000 0.000 5.788" Properties=species:S:1:pos:R:3 pbc="T T T"
N 2.044 0.000 0.000
Pb 2.044 2.894 2.894
Te 0.000 0.000 2.894
In 0.000 0.000 0.000
Te 0.000 2.894 0.000
```

Properties
- Raw formation energy: 0.581 eV per atom
- Distance to the lowest polymorph of the same formula: 0 meV/atom
- Calculated volume: 136.9 Å³ per cell

=====

- Which formula does entry 4 have?
  MgTi2GaBr